No. 1
# AlReMo2, optimized geometry, DFT GGA-PBE
# Electronic total energy ... -9.4207 eV per atom
# Calculated density ... 10.92 Mg/m³
data_AlReMo2
_chemical_formula_sum 'Al1 Re1 Mo2'
_cell_length_a 2.731
_cell_length_b 4.292
_cell_length_c 5.257
_cell_angle_alpha 90.00
_cell_angle_beta 90.00
_cell_angle_gamma 90.00
_space_group_name_H-M_alt 'P m m 2'
_space_group_IT_number 25
loop_
_space_group_symop_operation_xyz
'x,y,z'
'-x,-y,z'
'-x,y,z'
'x,-y,z'
loop_
_atom_site_label
_atom_site_fract_x
_atom_site_fract_y
_atom_site_fract_z
_atom_site_occupancy
Al1 0.000 0.000 0.000 1
Re1 0.500 0.500 0.754 1
Mo1 0.000 0.000 0.504 1
Mo2 0.500 0.500 0.237 1

No. 2
# ReSnP2O, optimized geometry, DFT GGA-PBE
# Electronic total energy ... -6.5996 eV per atom
# Formation energy (no corrections) ... -154 meV/atom
# Relative energy among the computed polymorphs ... 0.0 kJ/mol of formula units
# Calculated density ... 7.15 Mg/m³
data_ReSnP2O
_chemical_formula_sum 'Re1 Sn1 P2 O1'
_cell_length_a 4.869
_cell_length_b 4.869
_cell_length_c 3.748
_cell_angle_alpha 90.00
_cell_angle_beta 90.00
_cell_angle_gamma 90.00
_space_group_name_H-M_alt 'P 4/m m m'
_space_group_IT_number 123
_space_group_name_Hall '-P 4 2'
loop_
_atom_site_label
_atom_site_fract_x
_atom_site_fract_y
_atom_site_fract_z
_atom_site_occupancy
Re1 0.000 0.000 0.000 1
Sn1 0.500 0.500 0.500 1
P1 0.000 0.500 0.000 1
O1 0.000 0.000 0.500 1

Calculated Fermi-level density of states, 2.25 3.01 states/eV/f.u. (same order as the records).